# 1
KCdSe2O6, optimized geometry, DFT PBE; total magnetic moment = 0.760 μB/f.u.; E_form (uncorrected) = -0.959 eV/atom; E = -4.832 eV/atom
1.0
-3.0505 -4.7330 -1.0645
1.5859 -5.0070 2.2924
-3.8959 -2.1294 5.2071
K Cd Se O
1 1 2 6
Cartesian
0.0000 0.0000 0.0000
-2.6803 -5.9347 3.2175
-4.2465 -8.8280 5.1445
-1.1141 -3.0415 1.2905
-2.1831 -4.3251 4.8270
-4.9004 -5.2361 3.1092
-2.1732 -4.3576 1.5791
-3.1774 -7.5443 1.6080
-0.4602 -6.6333 3.3258
-3.1873 -7.5118 4.8559



# 2
PmErIrPb, optimized geometry, DFT PBE; total magnetic moment = 0.000 μB/f.u.; E_form = -650 meV/atom; ΔE to the lowest computed polymorph = 0.0000 eV per atom; E = -6.120 eV/atom
1.0
3.5232 0.0000 0.0000
0.0000 3.5232 0.0000
0.0000 0.0000 8.0636
Pm Er Ir Pb
1 1 1 1
Cartesian
1.7616 1.7616 6.2694
1.7616 1.7616 2.9609
0.0000 0.0000 4.4945
0.0000 0.0000 0.6662



# 3
TbY3Er, optimized geometry, DFT PBE; total magnetic moment = 0.000 μB/f.u.; E_form = 1 meV/atom; ΔE to the lowest computed polymorph = 0.0000 eV per atom; E = -5.716 eV/atom
1.0
-4.5210 1.4058 3.0532
-0.9345 -6.0684 1.4103
5.7217 3.9414 6.6586
Tb Y Er
2 6 2
Cartesian
-0.2334 -0.4940 2.4808
0.4995 -0.2272 8.6414
-1.5981 -0.6218 5.7165
1.8643 -0.0995 5.4057
2.0145 2.9756 9.4100
3.3779 3.1150 6.1672
-1.7483 -3.6968 1.7121
-3.1117 -3.8362 4.9549
0.3487 -3.3417 4.6540
-0.0826 2.6205 6.4681



# 4
Tb2Nd5Tm3, optimized geometry, DFT PBE; total magnetic moment = 0.000 μB/f.u.; E_form = 182 meV/atom; ΔE to the lowest computed polymorph = 0.0000 eV per atom; E = -4.469 eV/atom
1.0
8.7945 2.0904 -4.2975
0.6190 9.0016 -4.3465
-2.2722 -2.6207 10.7272
Tb Nd Tm
4 10 6
Cartesian
5.1704 -0.0543 4.6283
1.9710 8.5258 -2.5451
2.9174 5.5340 2.9323
4.2240 2.9374 -0.8492
2.6087 5.1443 -2.9831
4.5326 3.3272 5.0662
-0.5711 5.5620 2.3688
3.5141 2.1032 2.3864
7.7124 2.9094 -0.2857
3.6273 6.3682 -0.3032
6.4161 5.5436 1.6163
0.7253 2.9278 0.4668
1.6819 -0.0516 5.9712
5.4594 8.5231 -3.8881
0.4329 6.7683 5.0100
6.7085 1.7031 -2.9269
6.0656 5.0842 -2.4763
1.0758 3.3873 4.5594
0.1593 6.4150 -0.8392
6.9820 2.0564 2.9223



Please write out number 4 again, unchanged.
Tb2Nd5Tm3, optimized geometry, DFT PBE; total magnetic moment = 0.000 μB/f.u.; E_form = 182 meV/atom; ΔE to the lowest computed polymorph = 0.0000 eV per atom; E = -4.469 eV/atom
1.0
8.7945 2.0904 -4.2975
0.6190 9.0016 -4.3465
-2.2722 -2.6207 10.7272
Tb Nd Tm
4 10 6
Cartesian
5.1704 -0.0543 4.6283
1.9710 8.5258 -2.5451
2.9174 5.5340 2.9323
4.2240 2.9374 -0.8492
2.6087 5.1443 -2.9831
4.5326 3.3272 5.0662
-0.5711 5.5620 2.3688
3.5141 2.1032 2.3864
7.7124 2.9094 -0.2857
3.6273 6.3682 -0.3032
6.4161 5.5436 1.6163
0.7253 2.9278 0.4668
1.6819 -0.0516 5.9712
5.4594 8.5231 -3.8881
0.4329 6.7683 5.0100
6.7085 1.7031 -2.9269
6.0656 5.0842 -2.4763
1.0758 3.3873 4.5594
0.1593 6.4150 -0.8392
6.9820 2.0564 2.9223



Which of these has the highest total magnetic moment?
KCdSe2O6